Below is Rb3GeI8 after structural relaxation, with properties calculated at the PBE level.

Cell and atoms, written as POSCAR:
```
Rb3GeI8
1.0
-4.889 1.423 6.017
-6.173 -0.676 -4.856
5.109 -9.419 1.215
I Rb Ge
8 3 1
direct
0.341 0.341 0.221 I
0.659 0.119 0.779 I
0.119 0.119 0.779 I
0.881 0.881 0.221 I
0.119 0.659 0.779 I
0.341 0.881 0.221 I
0.659 0.659 0.779 I
0.881 0.341 0.221 I
0.750 0.250 0.500 Rb
0.500 0.500 0.000 Rb
0.250 0.750 0.500 Rb
0.000 0.000 0.000 Ge
```

Values from the calculation:
As for the magnetization: 0.0 μB/cell. The formation energy (no corrections) comes out at -0.597 eV per atom. The calculated density is 3.89 g cm⁻³. For the total energy, the calculation gives -27.08 eV per formula unit.